Entry 1:
The following is a GGA-PBEsol calculation of a relaxed structure of CsNaCd2, from Alexandria.

Cell and atoms, written as CIF:
```
data_CsNaCd2
_cell_length_a 5.904
_cell_length_b 5.904
_cell_length_c 5.904
_cell_angle_alpha 60.00
_cell_angle_beta 60.00
_cell_angle_gamma 60.00
_symmetry_space_group_name_H-M 'P 1'
_symmetry_Int_Tables_number 1
_symmetry_space_group_name_Hall 'P 1'
loop_
_atom_site_label
_atom_site_type_symbol
_atom_site_fract_x
_atom_site_fract_y
_atom_site_fract_z
Cd1 Cd 0.750 0.750 0.750
Cd2 Cd 0.250 0.250 0.250
Cs1 Cs 0.500 0.500 0.500
Na1 Na 0.000 0.000 0.000
```

Computed properties:
volume: 36.371 A^3/atom
magnetic moment: 0.00 μB/f.u.
SG: Fm-3m
E_tot: -4.26 eV for the cell shown
density of states at the Fermi level: 2.3 states/eV per cell
ΔE_f: 0.119 eV/atom

***

Entry 2:
The following is a GGA-PBEsol calculation of a relaxed structure of BePt2Rh, from Alexandria.

Cell and atoms, written as CIF:
```
data_BePt2Rh
_cell_length_a 2.705
_cell_length_b 4.455
_cell_length_c 4.455
_cell_angle_alpha 90.00
_cell_angle_beta 90.00
_cell_angle_gamma 90.00
_symmetry_space_group_name_H-M 'P 1'
_symmetry_Int_Tables_number 1
_symmetry_space_group_name_Hall 'P 1'
loop_
_atom_site_label
_atom_site_type_symbol
_atom_site_fract_x
_atom_site_fract_y
_atom_site_fract_z
Pt1 Pt 0.000 0.000 0.500
Pt2 Pt 0.000 0.500 0.000
Be1 Be 0.500 0.000 0.000
Rh1 Rh 0.500 0.500 0.500
```

Computed properties:
volume: 13.422 A^3/atom
magnetic moment: 0.00 μB/f.u.
SG: P4/mmm
E_tot: -26.75 eV for the cell shown
density of states at the Fermi level: 2.3 states/eV per cell
ΔE_f: -0.172 eV/atom

***

Entry 3:
The following is a GGA-PBEsol calculation of a relaxed structure of ZrAsI2N, from Alexandria.

Cell and atoms, written as CIF:
```
data_ZrAsI2N
_cell_length_a 3.615
_cell_length_b 5.741
_cell_length_c 5.741
_cell_angle_alpha 90.00
_cell_angle_beta 90.00
_cell_angle_gamma 90.00
_symmetry_space_group_name_H-M 'P 1'
_symmetry_Int_Tables_number 1
_symmetry_space_group_name_Hall 'P 1'
loop_
_atom_site_label
_atom_site_type_symbol
_atom_site_fract_x
_atom_site_fract_y
_atom_site_fract_z
I1 I 0.000 0.000 0.500
I2 I 0.000 0.500 0.000
N1 N 0.500 0.000 0.000
As1 As 0.000 0.000 0.000
Zr1 Zr 0.500 0.500 0.500
```

Computed properties:
E_form (uncorrected): 65 kJ/mol of atoms
volume: 23.824 A^3/atom
magnetic moment: 1.52 μB/f.u.
SG: P4/mmm
E_tot: -22.91 eV for the cell shown
density of states at the Fermi level: 4.0 states/eV per cell

***

Entry 4:
The following is a GGA-PBEsol calculation of a relaxed structure of AlPtRh2, from Alexandria.

Cell and atoms, written as CIF:
```
data_AlPtRh2
_cell_length_a 3.866
_cell_length_b 3.866
_cell_length_c 4.610
_cell_angle_alpha 114.79
_cell_angle_beta 114.79
_cell_angle_gamma 90.00
_symmetry_space_group_name_H-M 'P 1'
_symmetry_Int_Tables_number 1
_symmetry_space_group_name_Hall 'P 1'
loop_
_atom_site_label
_atom_site_type_symbol
_atom_site_fract_x
_atom_site_fract_y
_atom_site_fract_z
Rh1 Rh 0.750 0.250 0.500
Rh2 Rh 0.250 0.750 0.500
Pt1 Pt 0.000 0.000 0.000
Al1 Al 0.500 0.500 0.000
```

Computed properties:
volume: 13.865 A^3/atom
magnetic moment: 0.00 μB/f.u.
SG: I4/mmm
E_tot: -29.37 eV for the cell shown
density of states at the Fermi level: 4.9 states/eV per cell
ΔE_f: -0.509 eV/atom

***

Entry 5:
The following is a GGA-PBEsol calculation of a relaxed structure of CaBePO4F, from Alexandria.

Cell and atoms, written as CIF:
```
data_CaBePO4F
_cell_length_a 4.735
_cell_length_b 7.661
_cell_length_c 9.730
_cell_angle_alpha 90.00
_cell_angle_beta 91.05
_cell_angle_gamma 90.00
_symmetry_space_group_name_H-M 'P 1'
_symmetry_Int_Tables_number 1
_symmetry_space_group_name_Hall 'P 1'
loop_
_atom_site_label
_atom_site_type_symbol
_atom_site_fract_x
_atom_site_fract_y
_atom_site_fract_z
F1 F 0.214 0.594 0.325
F2 F 0.786 0.406 0.675
F3 F 0.214 0.906 0.825
F4 F 0.786 0.094 0.175
O1 O 0.347 0.282 0.544
O2 O 0.662 0.391 0.353
O3 O 0.338 0.891 0.147
O4 O 0.316 0.153 0.307
O5 O 0.653 0.782 0.956
O6 O 0.684 0.653 0.193
O7 O 0.245 0.599 0.039
O8 O 0.684 0.847 0.693
O9 O 0.245 0.901 0.539
O10 O 0.347 0.218 0.044
O11 O 0.755 0.099 0.461
O12 O 0.338 0.609 0.647
O13 O 0.662 0.109 0.853
O14 O 0.653 0.718 0.456
O15 O 0.316 0.347 0.807
O16 O 0.755 0.401 0.961
P1 P 0.476 0.772 0.581
P2 P 0.476 0.728 0.081
P3 P 0.524 0.272 0.919
P4 P 0.524 0.228 0.419
Be1 Be 0.545 0.586 0.338
Be2 Be 0.455 0.086 0.162
Be3 Be 0.455 0.414 0.662
Be4 Be 0.545 0.914 0.838
Ca1 Ca 0.003 0.389 0.170
Ca2 Ca 0.997 0.611 0.830
Ca3 Ca 0.997 0.889 0.330
Ca4 Ca 0.003 0.111 0.670
```

Computed properties:
E_form (uncorrected): -284 kJ/mol of atoms
volume: 11.029 A^3/atom
magnetic moment: 0.00 μB/f.u.
SG: P2_1/c
E_tot: -233.66 eV for the cell shown
density of states at the Fermi level: 0.0 states/eV per cell

***

Entry 6:
The following is a GGA-PBEsol calculation of a relaxed structure of K2SiCl, from Alexandria.

Cell and atoms, written as CIF:
```
data_K2SiCl
_cell_length_a 7.173
_cell_length_b 7.173
_cell_length_c 7.173
_cell_angle_alpha 112.54
_cell_angle_beta 107.96
_cell_angle_gamma 107.96
_symmetry_space_group_name_H-M 'P 1'
_symmetry_Int_Tables_number 1
_symmetry_space_group_name_Hall 'P 1'
loop_
_atom_site_label
_atom_site_type_symbol
_atom_site_fract_x
_atom_site_fract_y
_atom_site_fract_z
Si1 Si 0.000 0.500 0.500
Si2 Si 0.500 0.250 0.750
K1 K 0.959 0.084 0.625
K2 K 0.041 0.666 0.125
K3 K 0.541 0.875 0.916
K4 K 0.459 0.375 0.334
Cl1 Cl 0.500 0.750 0.250
Cl2 Cl 0.000 0.000 0.000
```

Computed properties:
E_form (uncorrected): -21 kJ/mol of atoms
volume: 35.438 A^3/atom
magnetic moment: 0.60 μB/f.u.
SG: I-42d
E_tot: -21.77 eV for the cell shown
density of states at the Fermi level: 5.6 states/eV per cell
energy above the most stable polymorph in this dataset: 1.00 eV per formula unit

***

Entry 7:
The following is a GGA-PBEsol calculation of a relaxed structure of ZrMoSe2, from Alexandria.

Cell and atoms, written as CIF:
```
data_ZrMoSe2
_cell_length_a 3.295
_cell_length_b 4.201
_cell_length_c 5.718
_cell_angle_alpha 102.25
_cell_angle_beta 90.00
_cell_angle_gamma 113.09
_symmetry_space_group_name_H-M 'P 1'
_symmetry_Int_Tables_number 1
_symmetry_space_group_name_Hall 'P 1'
loop_
_atom_site_label
_atom_site_type_symbol
_atom_site_fract_x
_atom_site_fract_y
_atom_site_fract_z
Zr1 Zr 0.000 0.000 0.500
Mo1 Mo 0.500 0.000 0.000
Se1 Se 0.756 0.511 0.777
Se2 Se 0.244 0.489 0.223
```

Computed properties:
E_form (uncorrected): -49 kJ/mol of atoms
volume: 17.713 A^3/atom
magnetic moment: 0.00 μB/f.u.
SG: C2/m
E_tot: -30.59 eV for the cell shown
density of states at the Fermi level: 2.8 states/eV per cell
energy above the most stable polymorph in this dataset: 0.43 eV per formula unit

***

Entry 8:
The following is a GGA-PBEsol calculation of a relaxed structure of Ba5Fe5O14, from Alexandria.

Cell and atoms, written as CIF:
```
data_Ba5Fe5O14
_cell_length_a 5.661
_cell_length_b 5.665
_cell_length_c 23.521
_cell_angle_alpha 90.00
_cell_angle_beta 90.00
_cell_angle_gamma 119.98
_symmetry_space_group_name_H-M 'P 1'
_symmetry_Int_Tables_number 1
_symmetry_space_group_name_Hall 'P 1'
loop_
_atom_site_label
_atom_site_type_symbol
_atom_site_fract_x
_atom_site_fract_y
_atom_site_fract_z
O1 O 0.665 0.819 0.354
O2 O 0.852 0.144 0.449
O3 O 0.293 0.144 0.051
O4 O 0.335 0.181 0.854
O5 O 0.148 0.856 0.949
O6 O 0.719 0.439 0.250
O7 O 0.850 0.700 0.848
O8 O 0.153 0.819 0.146
O9 O 0.148 0.856 0.551
O10 O 0.707 0.856 0.551
O11 O 0.335 0.181 0.646
O12 O 0.852 0.144 0.051
O13 O 0.665 0.819 0.146
O14 O 0.149 0.298 0.950
O15 O 0.707 0.856 0.949
O16 O 0.153 0.819 0.354
O17 O 0.150 0.300 0.348
O18 O 0.850 0.700 0.652
O19 O 0.293 0.144 0.449
O20 O 0.601 0.202 0.750
O21 O 0.851 0.702 0.450
O22 O 0.851 0.702 0.050
O23 O 0.847 0.181 0.854
O24 O 0.150 0.300 0.152
O25 O 0.281 0.561 0.750
O26 O 0.149 0.298 0.550
O27 O 0.399 0.798 0.250
O28 O 0.847 0.181 0.646
Ba1 Ba 0.659 0.318 0.355
Ba2 Ba 0.974 0.949 0.250
Ba3 Ba 0.026 0.051 0.750
Ba4 Ba 0.333 0.666 0.459
Ba5 Ba 0.667 0.334 0.541
Ba6 Ba 0.341 0.682 0.855
Ba7 Ba 0.667 0.334 0.959
Ba8 Ba 0.341 0.682 0.645
Ba9 Ba 0.659 0.318 0.145
Ba10 Ba 0.333 0.666 0.041
Fe1 Fe 0.675 0.350 0.821
Fe2 Fe 0.325 0.650 0.321
Fe3 Fe 0.994 0.988 0.397
Fe4 Fe 0.994 0.988 0.103
Fe5 Fe 0.000 0.000 0.000
Fe6 Fe 0.006 0.012 0.603
Fe7 Fe 0.000 0.000 0.500
Fe8 Fe 0.325 0.650 0.179
Fe9 Fe 0.006 0.012 0.897
Fe10 Fe 0.675 0.350 0.679
```

Computed properties:
E_form (uncorrected): -189 kJ/mol of atoms
volume: 13.612 A^3/atom
magnetic moment: 15.12 μB/f.u.
SG: Cmcm
E_tot: -352.35 eV for the cell shown
density of states at the Fermi level: 20.9 states/eV per cell

***

Entry 9:
The following is a GGA-PBEsol calculation of a relaxed structure of SnBH2, from Alexandria.

Cell and atoms, written as CIF:
```
data_SnBH2
_cell_length_a 3.860
_cell_length_b 3.860
_cell_length_c 5.777
_cell_angle_alpha 109.52
_cell_angle_beta 109.52
_cell_angle_gamma 90.00
_symmetry_space_group_name_H-M 'P 1'
_symmetry_Int_Tables_number 1
_symmetry_space_group_name_Hall 'P 1'
loop_
_atom_site_label
_atom_site_type_symbol
_atom_site_fract_x
_atom_site_fract_y
_atom_site_fract_z
H1 H 0.125 0.375 0.750
H2 H 0.625 0.375 0.250
H3 H 0.625 0.875 0.250
H4 H 0.625 0.375 0.750
B1 B 0.750 0.250 0.500
B2 B 0.500 0.500 0.000
Sn1 Sn 0.000 0.000 0.000
Sn2 Sn 0.250 0.750 0.500
```

Computed properties:
volume: 9.484 A^3/atom
magnetic moment: 0.00 μB/f.u.
SG: I4_1/amd
E_tot: -29.71 eV for the cell shown
density of states at the Fermi level: 2.1 states/eV per cell

***

Entry 10:
The following is a GGA-PBEsol calculation of a relaxed structure of Cd2ReOF, from Alexandria.

Cell and atoms, written as CIF:
```
data_Cd2ReOF
_cell_length_a 3.650
_cell_length_b 4.654
_cell_length_c 4.654
_cell_angle_alpha 90.00
_cell_angle_beta 90.00
_cell_angle_gamma 90.00
_symmetry_space_group_name_H-M 'P 1'
_symmetry_Int_Tables_number 1
_symmetry_space_group_name_Hall 'P 1'
loop_
_atom_site_label
_atom_site_type_symbol
_atom_site_fract_x
_atom_site_fract_y
_atom_site_fract_z
O1 O 0.000 0.000 0.000
Cd1 Cd 0.000 0.500 0.000
Cd2 Cd 0.000 0.000 0.500
F1 F 0.500 0.000 0.000
Re1 Re 0.500 0.500 0.500
```

Computed properties:
E_form (uncorrected): 73 kJ/mol of atoms
volume: 15.810 A^3/atom
magnetic moment: 2.98 μB/f.u.
SG: P4/mmm
E_tot: -19.13 eV for the cell shown
density of states at the Fermi level: 2.8 states/eV per cell

***

Entry 11:
The following is a GGA-PBEsol calculation of a relaxed structure of CuSb3N, from Alexandria.

Cell and atoms, written as CIF:
```
data_CuSb3N
_cell_length_a 4.634
_cell_length_b 4.634
_cell_length_c 4.634
_cell_angle_alpha 90.00
_cell_angle_beta 90.00
_cell_angle_gamma 90.00
_symmetry_space_group_name_H-M 'P 1'
_symmetry_Int_Tables_number 1
_symmetry_space_group_name_Hall 'P 1'
loop_
_atom_site_label
_atom_site_type_symbol
_atom_site_fract_x
_atom_site_fract_y
_atom_site_fract_z
Sb1 Sb 0.000 0.500 0.000
Sb2 Sb 0.500 0.000 0.000
Sb3 Sb 0.000 0.000 0.500
Cu1 Cu 0.500 0.500 0.500
N1 N 0.000 0.000 0.000
```

Computed properties:
E_form (uncorrected): 65 kJ/mol of atoms
volume: 19.902 A^3/atom
magnetic moment: 0.00 μB/f.u.
SG: Pm-3m
E_tot: -23.17 eV for the cell shown
density of states at the Fermi level: 2.5 states/eV per cell

***

Entry 12:
The following is a GGA-PBEsol calculation of a relaxed structure of LaBe3Cl, from Alexandria.

Cell and atoms, written as CIF:
```
data_LaBe3Cl
_cell_length_a 4.475
_cell_length_b 4.475
_cell_length_c 4.475
_cell_angle_alpha 90.00
_cell_angle_beta 90.00
_cell_angle_gamma 90.00
_symmetry_space_group_name_H-M 'P 1'
_symmetry_Int_Tables_number 1
_symmetry_space_group_name_Hall 'P 1'
loop_
_atom_site_label
_atom_site_type_symbol
_atom_site_fract_x
_atom_site_fract_y
_atom_site_fract_z
Be1 Be 0.500 0.000 0.000
Be2 Be 0.000 0.500 0.000
Be3 Be 0.000 0.000 0.500
Cl1 Cl 0.000 0.000 0.000
La1 La 0.500 0.500 0.500
```

Computed properties:
E_form (uncorrected): 88 kJ/mol of atoms
volume: 17.918 A^3/atom
magnetic moment: 0.00 μB/f.u.
SG: Pm-3m
E_tot: -14.82 eV for the cell shown
density of states at the Fermi level: 4.6 states/eV per cell

***

Which value of density of states at the Fermi level does entry 3 give?
4.0 states/eV per cell